## 1
VASP calculation (PBE) on a relaxed Li2FeCl crystal.

The structure belongs to space group Immm (No. 71); the cell edges are 3.050, 6.043 and 8.478 Å and the angles 90.00°, 90.00° and 90.00°. The distinct sites, in fractional coordinates, are Li at (0.000, 0.000, 0.207), Fe at (0.000, 0.500, 0.000) and Cl at (0.000, 0.500, 0.500).

Its crystal system is orthorhombic.

***

## 2
VASP calculation (PBE) on a relaxed Li2FeCl crystal.

The structure belongs to space group Fm-3m (No. 225); the cell edges are 6.618, 6.618 and 6.618 Å and the angles 90.00°, 90.00° and 90.00°. The distinct sites, in fractional coordinates, are Li at (0.250, 0.250, 0.250), Fe at (0.000, 0.000, 0.000) and Cl at (0.000, 0.000, 0.500).

Its crystal system is cubic.

***

What is the stability order? It is 1, 2, from most stable to least stable.

***

## 1
VASP calculation (PBE) on a relaxed Li2FeCl4 crystal.

The structure belongs to space group I-42m (No. 121); the cell edges are 5.698, 5.698 and 10.659 Å and the angles 90.00°, 90.00° and 90.00°. The distinct sites, in fractional coordinates, are Li at (0.000, 0.500, 0.250), Fe at (0.000, 0.000, 0.000) and Cl at (0.231, 0.231, 0.127).

Its crystal system is tetragonal.

***

## 2
VASP calculation (PBE) on a relaxed Li2FeCl4 crystal.

The structure belongs to space group I-42m (No. 121); the cell edges are 6.161, 6.161 and 9.710 Å and the angles 90.00°, 90.00° and 90.00°. The distinct sites, in fractional coordinates, are Li at (0.000, 0.500, 0.000), Fe at (0.000, 0.000, 0.000) and Cl at (0.233, 0.233, 0.112).

Its crystal system is tetragonal.

***

What is the stability order? It is 1, 2, from most stable to least stable.

***

## 1
VASP calculation (PBE) on a relaxed LiFeP2Cl crystal.

The structure belongs to space group P4/mmm (No. 123); the cell edges are 4.347, 4.347 and 4.642 Å and the angles 90.00°, 90.00° and 90.00°. The distinct sites, in fractional coordinates, are Li at (0.000, 0.000, 0.000), Fe at (0.500, 0.500, 0.500), P at (0.000, 0.500, 0.000) and Cl at (0.000, 0.000, 0.500).

Its crystal system is tetragonal.

***

## 2
VASP calculation (PBE) on a relaxed LiFeP2Cl crystal.

The structure belongs to space group P4/mmm (No. 123); the cell edges are 4.118, 4.118 and 7.167 Å and the angles 90.00°, 90.00° and 90.00°. The distinct sites, in fractional coordinates, are Li at (0.000, 0.000, 0.000), Fe at (0.500, 0.500, 0.500), P at (0.000, 0.500, 0.500) and Cl at (0.500, 0.500, 0.000).

Its crystal system is tetragonal.

***

What is the stability order? It is 2, 1, from most stable to least stable.